Record 1
A relaxed structure of Pr4Ga12Co. Source: Alexandria, functional GGA-PBE.

abc: 8.7993 8.7993 8.7993
angles: 90.00 90.00 90.00
Space group Im-3m (No. 229)
Inequivalent atoms, fractional coordinates:
Pr1 0.2500 0.2500 0.2500 [8 per cell]
Ga1 0.0000 0.0000 0.2817 [12 per cell]
Ga2 0.0000 0.2500 0.5000 [12 per cell]
Co1 0.0000 0.0000 0.0000 [2 per cell]


Record 2
A relaxed structure of Pr5Ga2Co. Source: Alexandria, functional GGA-PBE.

abc: 12.3852 8.9806 8.0191
angles: 90.00 90.00 90.00
Space group Pnma (No. 62)
Inequivalent atoms, fractional coordinates:
Pr1 0.0019 0.2500 0.0440 [4 per cell]
Pr2 0.0759 0.5310 0.3222 [8 per cell]
Pr3 0.1951 0.2500 0.6317 [4 per cell]
Pr4 0.2134 0.7500 0.6622 [4 per cell]
Ga1 0.1686 0.0065 0.9340 [8 per cell]
Co1 0.0092 0.2500 0.4277 [4 per cell]


Record 3
A relaxed structure of PrGa6Co4. Source: Alexandria, functional GGA-PBE.

abc: 6.9607 6.9607 3.9755
angles: 90.00 90.00 120.00
Space group P-6m2 (No. 187)
Inequivalent atoms, fractional coordinates:
Pr1 0.0000 0.0000 0.0000 [1 per cell]
Ga1 0.0659 0.5329 0.0000 [3 per cell]
Ga2 0.3960 0.1980 0.5000 [3 per cell]
Co1 0.2149 0.4298 0.5000 [3 per cell]
Co2 0.6667 0.3333 0.0000 [1 per cell]


Record 4
A relaxed structure of Pr4GaCo. Source: Alexandria, functional GGA-PBE.

abc: 8.8875 14.1030 6.2008
angles: 90.00 118.92 90.00
Space group C2/c (No. 15)
Inequivalent atoms, fractional coordinates:
Pr1 0.1204 0.1856 0.0860 [8 per cell]
Pr2 0.2234 0.4362 0.3219 [8 per cell]
Ga1 0.0000 0.3750 0.7500 [4 per cell]
Co1 0.0000 0.0019 0.2500 [4 per cell]


Record 5
A relaxed structure of PrGa3Co10. Source: Alexandria, functional GGA-PBE.

abc: 11.2509 11.3297 11.6095
angles: 90.00 90.00 90.00
Space group Fmm2 (No. 42)
Inequivalent atoms, fractional coordinates:
Pr1 0.2500 0.2500 0.0000 [8 per cell]
Ga1 0.0000 0.1801 0.3696 [8 per cell]
Ga2 0.1793 0.0000 0.6210 [8 per cell]
Ga3 0.1797 0.0000 0.8731 [8 per cell]
Co1 0.0000 0.0000 0.2466 [4 per cell]
Co2 0.0000 0.0000 0.7470 [4 per cell]
Co3 0.0000 0.1166 0.9277 [8 per cell]
Co4 0.0000 0.1206 0.5739 [8 per cell]
Co5 0.0000 0.1773 0.1300 [8 per cell]
Co6 0.1093 0.0000 0.0742 [8 per cell]
Co7 0.1125 0.0000 0.4229 [8 per cell]
Co8 0.1196 0.1803 0.7474 [16 per cell]
Co9 0.1807 0.1195 0.2451 [16 per cell]


Record 6
A relaxed structure of PrGa2Co3. Source: Alexandria, functional GGA-PBE.

abc: 9.1735 9.1735 3.8212
angles: 90.00 90.00 120.00
Space group P6/mmm (No. 191)
Inequivalent atoms, fractional coordinates:
Pr1 0.0000 0.0000 0.0000 [1 per cell]
Pr2 0.3333 0.6667 0.5000 [2 per cell]
Ga1 0.0000 0.3177 0.5000 [6 per cell]
Co1 0.0000 0.5000 0.0000 [3 per cell]
Co2 0.1818 0.3636 0.0000 [6 per cell]


Let's list ΔE_f in order: -0.543, -0.316, -0.294, -0.185, -0.175, -0.319 eV/atom.
Let's list VASP energy in order: -4.222, -4.948, -4.964, -5.060, -6.241, -5.677 eV per atom.